Record 1
Crystalline Sm2Ho2CICl4 at its relaxed geometry. Source: OQMD via LeMat-Bulk, functional GGA-PBE.

a = 17.134 Å, b = 3.851 Å, c = 8.710 Å
α = 90.00°, β = 104.56°, γ = 90.00°
Space group C2/m (No. 12)
Inequivalent atoms, fractional coordinates:
1 Sm 0.000 0.000 0.194 x4
2 Ho 0.143 0.500 0.074 x4
3 C 0.000 0.500 0.000 x2
4 I 0.000 0.500 0.500 x2
5 Cl 0.170 0.000 0.299 x4
6 Cl 0.173 0.000 0.871 x4

Output
Polymorph energy (0 for the lowest one): 0.000 eV/atom
Mass density: 5441 kg/m3
Magnetic moment: 0.04 Bohr magnetons per cell

Record 2
Crystalline Sm2Ho2CI2Cl3 at its relaxed geometry. Source: OQMD via LeMat-Bulk, functional GGA-PBE.

a = 18.468 Å, b = 3.869 Å, c = 8.026 Å
α = 90.00°, β = 100.93°, γ = 90.00°
Space group C2/m (No. 12)
Inequivalent atoms, fractional coordinates:
1 Sm 0.001 0.000 0.288 x4
2 Ho 0.132 0.500 0.569 x4
3 C 0.000 0.500 0.500 x2
4 I 0.175 0.000 0.307 x4
5 Cl 0.000 0.500 0.000 x2
6 Cl 0.153 0.000 0.811 x4

Output
Polymorph energy (0 for the lowest one): 0.000 eV/atom
Mass density: 5913 kg/m3
Magnetic moment: 0.05 Bohr magnetons per cell

Record 3
Crystalline Sm2Ho2CI4Cl at its relaxed geometry. Source: OQMD via LeMat-Bulk, functional GGA-PBE.

a = 19.382 Å, b = 3.933 Å, c = 8.254 Å
α = 90.00°, β = 101.90°, γ = 90.00°
Space group C2/m (No. 12)
Inequivalent atoms, fractional coordinates:
1 Sm 0.002 0.000 0.292 x4
2 Ho 0.126 0.500 0.566 x4
3 C 0.000 0.500 0.500 x2
4 I 0.163 0.000 0.849 x4
5 I 0.170 0.000 0.323 x4
6 Cl 0.000 0.500 0.000 x2

Output
Polymorph energy (0 for the lowest one): 0.000 eV/atom
Mass density: 6396 kg/m3
Magnetic moment: 0.03 Bohr magnetons per cell

Record 4
Crystalline Sm2Ho2CI2Cl3 at its relaxed geometry. Source: OQMD via LeMat-Bulk, functional GGA-PBE.

a = 18.413 Å, b = 3.821 Å, c = 7.955 Å
α = 90.00°, β = 100.68°, γ = 90.00°
Space group C2/m (No. 12)
Inequivalent atoms, fractional coordinates:
1 Sm 0.136 0.000 0.075 x4
2 Ho 0.003 0.500 0.794 x4
3 C 0.000 0.000 0.000 x2
4 I 0.173 0.500 0.790 x4
5 Cl 0.000 0.000 0.500 x2
6 Cl 0.145 0.500 0.332 x4

Output
Polymorph energy (0 for the lowest one): 0.006 eV/atom
Mass density: 6055 kg/m3
Magnetic moment: 0.35 Bohr magnetons per cell

Record 5
Crystalline Sm2Ho2CI3Cl2 at its relaxed geometry. Source: OQMD via LeMat-Bulk, functional GGA-PBE.

a = 18.429 Å, b = 3.931 Å, c = 8.678 Å
α = 90.00°, β = 100.23°, γ = 90.00°
Space group C2/m (No. 12)
Inequivalent atoms, fractional coordinates:
1 Sm 0.002 0.000 0.306 x4
2 Ho 0.132 0.500 0.562 x4
3 C 0.000 0.500 0.500 x2
4 I 0.000 0.500 0.000 x2
5 I 0.177 0.000 0.322 x4
6 Cl 0.153 0.000 0.783 x4

Output
Polymorph energy (0 for the lowest one): 0.000 eV/atom
Mass density: 5874 kg/m3
Magnetic moment: 0.04 Bohr magnetons per cell

Record 6
Crystalline Y2Ho2CI3Cl2 at its relaxed geometry. Source: OQMD via LeMat-Bulk, functional GGA-PBE.

a = 18.040 Å, b = 3.894 Å, c = 8.560 Å
α = 90.00°, β = 102.75°, γ = 90.00°
Space group C2/m (No. 12)
Inequivalent atoms, fractional coordinates:
1 Y 0.001 0.000 0.310 x4
2 Ho 0.134 0.500 0.559 x4
3 C 0.000 0.500 0.500 x2
4 I 0.000 0.500 0.000 x2
5 I 0.174 0.000 0.833 x4
6 Cl 0.162 0.000 0.354 x4

Output
Polymorph energy (0 for the lowest one): 0.017 eV/atom
Mass density: 5499 kg/m3
Magnetic moment: 0.63 Bohr magnetons per cell

Record 7
Crystalline Y2Ho2CI3Cl2 at its relaxed geometry. Source: OQMD via LeMat-Bulk, functional GGA-PBE.

a = 18.203 Å, b = 3.878 Å, c = 8.412 Å
α = 90.00°, β = 100.09°, γ = 90.00°
Space group C2/m (No. 12)
Inequivalent atoms, fractional coordinates:
1 Y 0.134 0.000 0.064 x4
2 Ho 0.002 0.500 0.810 x4
3 C 0.000 0.000 0.000 x2
4 I 0.000 0.000 0.500 x2
5 I 0.174 0.500 0.807 x4
6 Cl 0.148 0.500 0.298 x4

Output
Polymorph energy (0 for the lowest one): 0.000 eV/atom
Mass density: 5517 kg/m3
Magnetic moment: 0.63 Bohr magnetons per cell

Record 8
Crystalline Y2Ho2CI3Cl2 at its relaxed geometry. Source: OQMD via LeMat-Bulk, functional GGA-PBE.

a = 18.299 Å, b = 3.890 Å, c = 8.464 Å
α = 90.00°, β = 100.64°, γ = 90.00°
Space group C2/m (No. 12)
Inequivalent atoms, fractional coordinates:
1 Y 0.002 0.000 0.309 x4
2 Ho 0.133 0.500 0.565 x4
3 C 0.000 0.500 0.500 x2
4 I 0.000 0.500 0.000 x2
5 I 0.174 0.000 0.314 x4
6 Cl 0.150 0.000 0.795 x4

Output
Polymorph energy (0 for the lowest one): 0.002 eV/atom
Mass density: 5448 kg/m3
Magnetic moment: 0.51 Bohr magnetons per cell

Record 9
Crystalline Y2Ho2CICl4 at its relaxed geometry. Source: OQMD via LeMat-Bulk, functional GGA-PBE.

a = 16.989 Å, b = 3.809 Å, c = 8.490 Å
α = 90.00°, β = 103.80°, γ = 90.00°
Space group C2/m (No. 12)
Inequivalent atoms, fractional coordinates:
1 Y 0.001 0.000 0.308 x4
2 Ho 0.144 0.500 0.574 x4
3 C 0.000 0.500 0.500 x2
4 I 0.000 0.500 0.000 x2
5 Cl 0.167 0.000 0.805 x4
6 Cl 0.172 0.000 0.360 x4

Output
Total energy: -5.602 eV per atom
Mass density: 4907 kg/m3
Magnetic moment: 0.03 Bohr magnetons per cell

Record 10
Crystalline Y2Ho2CI3Cl2 at its relaxed geometry. Source: OQMD via LeMat-Bulk, functional GGA-PBE.

a = 18.017 Å, b = 3.888 Å, c = 8.503 Å
α = 90.00°, β = 102.53°, γ = 90.00°
Space group C2/m (No. 12)
Inequivalent atoms, fractional coordinates:
1 Y 0.136 0.000 0.059 x4
2 Ho 0.001 0.500 0.810 x4
3 C 0.000 0.000 0.000 x2
4 I 0.000 0.000 0.500 x2
5 I 0.171 0.500 0.339 x4
6 Cl 0.161 0.500 0.846 x4

Output
Polymorph energy (0 for the lowest one): 0.019 eV/atom
Mass density: 5547 kg/m3
Magnetic moment: 0.75 Bohr magnetons per cell

Record 11
Crystalline Y2Ho2CICl4 at its relaxed geometry. Source: OQMD via LeMat-Bulk, functional GGA-PBE.

a = 16.921 Å, b = 3.799 Å, c = 8.434 Å
α = 90.00°, β = 104.26°, γ = 90.00°
Space group C2/m (No. 12)
Inequivalent atoms, fractional coordinates:
1 Y 0.145 0.000 0.076 x4
2 Ho 0.000 0.500 0.191 x4
3 C 0.000 0.000 0.000 x2
4 I 0.000 0.000 0.500 x2
5 Cl 0.165 0.500 0.313 x4
6 Cl 0.171 0.500 0.853 x4

Output
Total energy: -5.602 eV per atom
Mass density: 4983 kg/m3
Magnetic moment: 0.30 Bohr magnetons per cell

Record 12
Crystalline Y2Ho2CI4Cl at its relaxed geometry. Source: OQMD via LeMat-Bulk, functional GGA-PBE.

a = 19.153 Å, b = 3.891 Å, c = 8.212 Å
α = 90.00°, β = 101.91°, γ = 90.00°
Space group C2/m (No. 12)
Inequivalent atoms, fractional coordinates:
1 Y 0.128 0.000 0.064 x4
2 Ho 0.001 0.500 0.799 x4
3 C 0.000 0.000 0.000 x2
4 I 0.161 0.500 0.352 x4
5 I 0.166 0.500 0.811 x4
6 Cl 0.000 0.000 0.500 x2

Output
Polymorph energy (0 for the lowest one): 0.006 eV/atom
Mass density: 5894 kg/m3
Magnetic moment: 0.03 Bohr magnetons per cell